# NaNbReH2

NaNbReH2 after structural relaxation (PBE, Alexandria).

POSCAR file:
```
NaNbReH2
1.0
3.693 0.000 0.000
0.000 5.219 0.000
0.000 0.000 3.693
Nb H Re Na
1 2 1 1
Direct
0.000 0.000 0.000
0.000 0.000 0.500
0.500 0.000 0.000
0.500 0.500 0.500
0.000 0.500 0.000
```

Properties
As for the space group: P4/mmm. The energy above the most stable polymorph in this dataset is 101.6 meV/atom. The calculation puts the density of states at the Fermi level at 2.6 states/eV/f.u.

=====

# Tb4Nd3Ir4

Tb4Nd3Ir4 after structural relaxation (PBE, Alexandria).

POSCAR file:
```
Tb4Nd3Ir4
1.0
3.975 0.000 0.000
0.000 8.711 0.000
-1.987 -4.355 8.028
Tb Ir Nd
4 4 3
Direct
0.668 0.859 0.336
0.332 0.523 0.664
0.332 0.141 0.664
0.668 0.477 0.336
0.500 0.218 0.000
0.500 0.782 0.000
0.244 0.744 0.488
0.756 0.256 0.512
0.101 0.101 0.202
0.000 0.500 0.000
0.899 0.899 0.798
```

Properties
The electronic total energy comes out at -74.86 eV/f.u. As for the space group: Immm. The calculation puts the density of states at the Fermi level at 7.0 states/eV/f.u.

=====

# Cd2TeRu

Cd2TeRu after structural relaxation (PBE, Alexandria).

POSCAR file:
```
Cd2TeRu
1.0
10.948 0.055 0.032
10.502 3.094 0.032
10.502 1.542 2.683
Cd Ru Te
2 1 1
Direct
0.985 0.985 0.985
0.515 0.515 0.515
0.250 0.250 0.250
0.750 0.750 0.750
```

Properties
As for the space group: R-3m. The energy above the most stable polymorph in this dataset is 355.1 meV/atom. The calculation puts the density of states at the Fermi level at 3.6 states/eV/f.u. As for the uncorrected formation energy: 0.400 eV/atom.

=====

# MgIr2Rh

MgIr2Rh after structural relaxation (PBE, Alexandria).

POSCAR file:
```
MgIr2Rh
1.0
4.786 0.011 0.000
1.644 4.495 0.000
-3.215 -2.253 2.738
Mg Ir Rh
1 2 1
Direct
0.250 0.750 0.500
0.000 0.000 0.000
0.500 0.500 0.000
0.750 0.250 0.500
```

Properties
The electronic total energy comes out at -27.37 eV/f.u. As for the space group: I4/mmm. The calculation puts the density of states at the Fermi level at 2.4 states/eV/f.u.

=====

# KTeAs2

KTeAs2 after structural relaxation (PBE, Alexandria).

POSCAR file:
```
KTeAs2
1.0
-4.432 3.651 -0.218
-1.970 -2.366 0.413
0.350 0.794 6.189
As Te K
2 1 1
Direct
0.000 0.749 0.555
0.000 0.751 0.945
0.500 0.750 0.750
0.500 0.250 0.250
```

Properties
As for the space group: Pmmm. The calculation puts the density of states at the Fermi level at 1.2 states/eV/f.u. As for the uncorrected formation energy: -0.088 eV/atom.

=====

# InSb2Pt

InSb2Pt after structural relaxation (PBE, Alexandria).

POSCAR file:
```
InSb2Pt
1.0
4.157 0.001 0.003
2.087 3.595 0.003
2.056 1.184 6.936
Sb Pt In
2 1 1
Direct
0.979 0.979 0.063
0.521 0.521 0.437
0.250 0.250 0.250
0.750 0.750 0.750
```

Properties
As for the space group: C2/m. The calculation puts the density of states at the Fermi level at 1.5 states/eV/f.u. As for the uncorrected formation energy: -0.246 eV/atom.

=====

# SmY3Pd12

SmY3Pd12 after structural relaxation (PBE, Alexandria).

POSCAR file:
```
SmY3Pd12
1.0
-4.135 0.042 -0.106
-0.113 -2.023 3.607
-0.062 14.511 8.139
Y Pd Sm
3 12 1
Direct
0.000 0.000 0.251
0.000 0.000 0.749
0.000 0.000 0.500
0.500 0.000 0.376
0.000 0.500 0.127
0.500 0.000 0.127
0.500 0.500 0.000
0.500 0.500 0.749
0.000 0.500 0.624
0.500 0.500 0.500
0.000 0.500 0.376
0.000 0.500 0.873
0.500 0.500 0.251
0.500 0.000 0.873
0.500 0.000 0.624
0.000 0.000 0.000
```

Properties
The electronic total energy comes out at -99.79 eV/f.u. As for the space group: P4/mmm. The calculation puts the density of states at the Fermi level at 11.2 states/eV/f.u.

=====

# ZrTiReIr

ZrTiReIr after structural relaxation (PBE, Alexandria).

POSCAR file:
```
ZrTiReIr
1.0
4.539 0.000 0.000
2.269 3.931 0.000
2.269 1.310 3.706
Zr Ti Ir Re
1 1 1 1
Direct
0.750 0.750 0.750
0.250 0.250 0.250
0.500 0.500 0.500
0.000 0.000 0.000
```

Properties
The electronic total energy comes out at -40.18 eV/f.u. As for the space group: F-43m. The calculation puts the density of states at the Fermi level at 1.3 states/eV/f.u.

=====

# CaTmMgAu

CaTmMgAu after structural relaxation (PBE, Alexandria).

POSCAR file:
```
CaTmMgAu
1.0
-1.774 -0.252 4.878
-3.972 -3.142 1.161
0.812 -4.273 2.842
Au Mg Ca Tm
1 1 1 1
Direct
0.000 0.000 0.000
0.500 0.500 0.500
0.250 0.250 0.250
0.750 0.750 0.750
```

Properties
The electronic total energy comes out at -12.86 eV/f.u. As for the space group: F-43m. The calculation puts the density of states at the Fermi level at 3.0 states/eV/f.u.

=====

# TlInBiPt2

TlInBiPt2 after structural relaxation (PBE, Alexandria).

POSCAR file:
```
TlInBiPt2
1.0
5.137 0.000 0.000
0.000 5.701 0.000
0.000 0.000 5.137
Tl Pt Bi In
1 2 1 1
Direct
0.000 0.000 0.000
0.000 0.000 0.500
0.500 0.000 0.000
0.000 0.500 0.000
0.500 0.500 0.500
```

Properties
The electronic total energy comes out at -16.75 eV/f.u. As for the space group: P4/mmm. The calculation puts the density of states at the Fermi level at 3.1 states/eV/f.u.

=====

# NdTlGa2

NdTlGa2 after structural relaxation (PBE, Alexandria).

POSCAR file:
```
NdTlGa2
1.0
-3.402 2.704 -0.860
-2.360 -1.856 3.502
1.778 3.148 2.866
Ga Tl Nd
2 1 1
Direct
0.000 0.500 0.000
0.000 0.000 0.500
0.500 0.000 0.000
0.500 0.500 0.500
```

Properties
As for the space group: P4/mmm. The energy above the most stable polymorph in this dataset is 0.0 meV/atom. The calculation puts the density of states at the Fermi level at 2.3 states/eV/f.u.

=====

# NdZrZnCu

NdZrZnCu after structural relaxation (PBE, Alexandria).

POSCAR file:
```
NdZrZnCu
1.0
4.919 0.000 0.000
2.460 4.260 0.000
2.460 1.420 4.017
Nd Zn Cu Zr
1 1 1 1
Direct
0.500 0.500 0.500
0.250 0.250 0.250
0.750 0.750 0.750
0.000 0.000 0.000
```

Properties
The electronic total energy comes out at -19.02 eV/f.u. As for the space group: F-43m. The calculation puts the density of states at the Fermi level at 3.8 states/eV/f.u.

=====

# InGaSn2H

InGaSn2H after structural relaxation (PBE, Alexandria).

POSCAR file:
```
InGaSn2H
1.0
-0.390 1.756 -4.373
2.242 -3.906 -1.768
-4.172 -2.169 -0.499
Sn Ga In H
2 1 1 1
Direct
0.500 0.000 0.000
0.000 0.000 0.500
0.500 0.500 0.500
0.000 0.500 0.000
0.000 0.000 0.000
```

Properties
As for the space group: P4/mmm. The energy above the most stable polymorph in this dataset is 86.0 meV/atom. The calculation puts the density of states at the Fermi level at 2.1 states/eV/f.u.

=====

# Li2ScSi

Li2ScSi after structural relaxation (PBE, Alexandria).

POSCAR file:
```
Li2ScSi
1.0
3.899 0.000 0.000
0.000 3.900 0.000
0.000 0.000 4.585
Si Li Sc
1 2 1
Direct
0.000 0.500 0.500
0.000 0.000 0.000
0.500 0.500 0.000
0.500 0.000 0.500
```

Properties
As for the space group: P4/mmm. The calculation puts the density of states at the Fermi level at 1.7 states/eV/f.u. As for the uncorrected formation energy: -0.278 eV/atom.

=====

# BeCrRuRh

BeCrRuRh after structural relaxation (PBE, Alexandria).

POSCAR file:
```
BeCrRuRh
1.0
-2.018 2.782 2.228
-4.074 0.301 -0.301
-2.378 -1.201 3.112
Be Cr Rh Ru
1 1 1 1
Direct
0.000 0.000 0.000
0.500 0.500 0.500
0.250 0.250 0.250
0.750 0.750 0.750
```

Properties
As for the space group: F-43m. The energy above the most stable polymorph in this dataset is 53.6 meV/atom. The calculation puts the density of states at the Fermi level at 3.9 states/eV/f.u.

=====

# HRuW2

HRuW2 after structural relaxation (PBE, Alexandria).

POSCAR file:
```
HRuW2
1.0
0.000 3.002 3.002
3.002 0.000 3.002
3.002 3.002 0.000
W Ru H
2 1 1
Direct
0.250 0.250 0.250
0.750 0.750 0.750
0.500 0.500 0.500
0.000 0.000 0.000
```

Properties
As for the space group: Fm-3m. The energy above the most stable polymorph in this dataset is 427.9 meV/atom. The calculation puts the density of states at the Fermi level at 5.3 states/eV/f.u.

=====

# AlFe2Ru

AlFe2Ru after structural relaxation (PBE, Alexandria).

POSCAR file:
```
AlFe2Ru
1.0
-1.070 -0.426 -4.533
-1.050 -4.365 -1.310
-1.390 2.823 3.459
Fe Al Ru
2 1 1
Direct
0.500 0.500 0.000
0.000 0.000 0.000
0.750 0.250 0.500
0.250 0.750 0.500
```

Properties
The electronic total energy comes out at -30.42 eV/f.u. As for the space group: I4/mmm. The calculation puts the density of states at the Fermi level at 5.1 states/eV/f.u.

=====

# TcSb2TeRu

TcSb2TeRu after structural relaxation (PBE, Alexandria).

POSCAR file:
```
TcSb2TeRu
1.0
-2.362 -4.139 -1.465
4.053 -2.695 1.079
-1.846 -0.743 5.078
Te Ru Tc Sb
1 1 1 2
Direct
0.000 0.000 0.500
0.000 0.000 0.000
0.500 0.500 0.500
0.500 0.000 0.000
0.000 0.500 0.000
```

Properties
As for the space group: P4/mmm. The energy above the most stable polymorph in this dataset is 0.0 meV/atom. The calculation puts the density of states at the Fermi level at 5.5 states/eV/f.u. As for the uncorrected formation energy: 1.077 eV/atom.

=====

# CdPd7Au3

CdPd7Au3 after structural relaxation (PBE, Alexandria).

POSCAR file:
```
CdPd7Au3
1.0
-3.730 4.767 1.855
-4.765 -1.623 -5.483
-4.078 -2.588 0.722
Au Pd Cd
3 7 1
Direct
0.468 0.468 0.043
0.716 0.225 0.539
0.225 0.715 0.543
0.640 0.641 0.371
0.144 0.144 0.367
0.890 0.392 0.869
0.056 0.552 0.210
0.552 0.057 0.203
0.808 0.808 0.704
0.392 0.890 0.871
0.983 0.983 0.028
```

Properties
As for the space group: P1. The energy above the most stable polymorph in this dataset is 0.0 meV/atom. The calculation puts the density of states at the Fermi level at 14.7 states/eV/f.u.

=====

# KSm2NpS5

KSm2NpS5 after structural relaxation (PBE, Alexandria).

POSCAR file:
```
KSm2NpS5
1.0
-3.168 -0.779 -3.805
-1.138 -6.658 2.310
-3.134 5.988 4.685
S Np Sm K
5 1 2 1
Direct
0.347 0.611 0.693
0.653 0.918 0.307
0.000 0.000 0.000
0.653 0.389 0.307
0.347 0.082 0.693
0.500 0.000 0.000
0.794 0.794 0.589
0.206 0.206 0.411
0.000 0.500 0.000
```

Properties
As for the space group: Immm. The calculation puts the density of states at the Fermi level at 9.7 states/eV/f.u. As for the uncorrected formation energy: -1.637 eV/atom.